The following is a PBE calculation of Ho3ErTm3 after structural relaxation, from Alexandria.

Its energy above the most stable polymorph in this dataset is 144.2 meV/atom. Its formation energy is 0.147 eV per atom.

The space group is R-3 (No. 148, hexagonal axes) and the conventional cell measures 6.0810, 6.0810 and 41.8556 Å, with angles of 90.00, 90.00 and 120.00 degrees. The inequivalent atoms are Ho at (0.0002, 0.3313, 0.1326), Er at (0.0000, 0.0000, 0.3333) and Tm at (0.0000, 0.3341, 0.9338).

The following is a PBE calculation of TmGaPdRh after structural relaxation, from Alexandria.

Its energy above the most stable polymorph in this dataset is 11.5 meV/atom. Its formation energy is -0.827 eV per atom.

The space group is F-43m (No. 216) and the conventional cell measures 6.488, 6.488 and 6.488 Å, with angles of 90.00, 90.00 and 90.00 degrees. The inequivalent atoms are Tm at (0.000, 0.000, 0.000), Ga at (0.000, 0.000, 0.500), Pd at (0.250, 0.250, 0.250) and Rh at (0.250, 0.250, 0.750).

The following is a PBE calculation of LiZrRe2 after structural relaxation, from Alexandria.

Its energy above the most stable polymorph in this dataset is 240.0 meV/atom. Its formation energy is 0.320 eV per atom.

The space group is Cmmm (No. 65) and the conventional cell measures 5.402, 9.385 and 2.593 Å, with angles of 90.00, 90.00 and 90.00 degrees. The inequivalent atoms are Li at (0.000, 0.000, 0.000), Zr at (0.000, 0.500, 0.000) and Re at (0.250, 0.250, 0.500).

The following is a PBE calculation of InRuF2 after structural relaxation, from Alexandria.

Its energy above the most stable polymorph in this dataset is 239.0 meV/atom. For the raw formation energy, the calculation gives -15.95 kcal/mol of atoms.

The space group is R-3m (No. 166, hexagonal axes) and the conventional cell measures 3.0156, 3.0156 and 24.1767 Å, with angles of 90.00, 90.00 and 120.00 degrees. The inequivalent atoms are In at (0.0000, 0.0000, 0.0000), Ru at (0.0000, 0.0000, 0.5000) and F at (0.0000, 0.0000, 0.0964).

The following is a PBE calculation of TbH4Os after structural relaxation, from Alexandria.

The calculation puts the total energy at -5.17 eV/atom.

The space group is Cmcm (No. 63) and the conventional cell measures 4.292, 6.227 and 8.389 Å, with angles of 90.00, 90.00 and 90.00 degrees. The inequivalent atoms are Tb at (0.000, 0.000, 0.000), H at (0.000, 0.355, 0.047), H at (0.247, 0.102, 0.250) and Os at (0.000, 0.351, 0.250).

The following is a PBE calculation of VRh after structural relaxation, from Alexandria.

Its formation energy is 0.721 eV per atom.

The space group is F-43m (No. 216) and the conventional cell measures 5.423, 5.423 and 5.423 Å, with angles of 90.00, 90.00 and 90.00 degrees. The inequivalent atoms are V at (0.000, 0.000, 0.000) and Rh at (0.250, 0.250, 0.750).

The following is a PBE calculation of Pm3Au11 after structural relaxation, from Alexandria.

Its formation energy is -0.527 eV per atom.

The space group is Immm (No. 71) and the conventional cell measures 4.643, 9.943 and 13.203 Å, with angles of 90.00, 90.00 and 90.00 degrees. The inequivalent atoms are Pm at (0.000, 0.000, 0.000), Pm at (0.000, 0.000, 0.298), Au at (0.000, 0.174, 0.500), Au at (0.000, 0.280, 0.131), Au at (0.000, 0.365, 0.339) and Au at (0.000, 0.500, 0.000).

The following is a PBE calculation of Sm4ZnTe2S after structural relaxation, from Alexandria.

For the raw formation energy, the calculation gives -29.23 kcal/mol of atoms.

The space group is P2/m (No. 10) and the conventional cell measures 7.430, 4.167 and 7.583 Å, with angles of 90.00, 108.13 and 90.00 degrees. The inequivalent atoms are Sm at (0.234, 0.000, 0.218), Sm at (0.257, 0.500, 0.771), Zn at (0.500, 0.000, 0.000), Te at (0.000, 0.000, 0.500), Te at (0.500, 0.500, 0.500) and S at (0.000, 0.500, 0.000).

Repeat the fifth record exactly.
The following is a PBE calculation of TbH4Os after structural relaxation, from Alexandria.

The calculation puts the total energy at -5.17 eV/atom.

The space group is Cmcm (No. 63) and the conventional cell measures 4.292, 6.227 and 8.389 Å, with angles of 90.00, 90.00 and 90.00 degrees. The inequivalent atoms are Tb at (0.000, 0.000, 0.000), H at (0.000, 0.355, 0.047), H at (0.247, 0.102, 0.250) and Os at (0.000, 0.351, 0.250).